# MnReF3 | Alexandria via LeMat-Bulk | PBE with a Hubbard U | relaxed
data_MnReF3
_chemical_formula_sum 'Mn1 Re1 F3'
_space_group_name_H-M_alt 'P m -3 m'
_space_group_IT_number 221
_space_group_name_Hall '-P 4 2 3'
_cell_length_a 4.248
_cell_length_b 4.248
_cell_length_c 4.248
_cell_angle_alpha 90.00
_cell_angle_beta 90.00
_cell_angle_gamma 90.00
loop_
_atom_site_label
_atom_site_type_symbol
_atom_site_fract_x
_atom_site_fract_y
_atom_site_fract_z
_atom_site_occupancy
Mn1 Mn 0.000 0.000 0.000 1
Re1 Re 0.500 0.500 0.500 1
F1 F 0.000 0.500 0.500 1
# Distance to the lowest polymorph of the same formula (eV per atom): 0.272